Entry from Alexandria: crystalline Ba3Fe2N4 at its relaxed geometry (PBE).

Cell and atoms, written as POSCAR:
```
Ba3Fe2N4
1.0
4.471 6.139 -0.001
-4.471 6.139 -0.001
0.000 0.379 5.622
Ba Fe N
6 4 8
direct
0.005 0.736 0.059
0.264 0.995 0.441
0.995 0.264 0.941
0.736 0.005 0.559
0.406 0.594 0.750
0.594 0.406 0.250
0.840 0.590 0.560
0.410 0.160 0.940
0.160 0.410 0.440
0.590 0.840 0.060
0.060 0.657 0.541
0.343 0.940 0.959
0.940 0.343 0.459
0.657 0.060 0.041
0.732 0.646 0.867
0.354 0.268 0.633
0.268 0.354 0.133
0.646 0.732 0.367
```

Summary:
Total energy (eV/atom): -6.50
SG: C2/c, No. 15
ΔE_f (raw) (eV per atom): -0.281